Here is an optimized crystal structure of Sc3ZnBi from Alexandria via LeMat-Bulk. Energies are from PBEsol.

Lattice parameters (Å, degrees): 5.353 5.353 5.353 90.00 90.00 90.00
Element x y z (fractional)
Sc 0.000 0.000 0.500
Sc 0.000 0.500 0.000
Sc 0.500 0.000 0.000
Zn 0.500 0.500 0.500
Bi 0.000 0.000 0.000

Properties
DFT total energy: -4.5986 eV/atom
N(E_F): 2.04 states/eV per atom
energy relative to the elements: 2.7 eV per formula unit